Pr8Pt3SeCl4 | GGA-PBE | relaxed

a = 8.522 Å, b = 8.636 Å, c = 8.522 Å
α = 119.56°, β = 120.00°, γ = 90.00°
Element x y z (fractional)
Pr: 0.734 0.730 0.982
Pt: 0.500 0.500 0.000
Pt: 0.000 0.500 0.500
Pt: 0.500 0.500 0.500
Se: 0.000 0.500 0.000
Pr: 0.752 0.270 0.018
Cl: 0.500 0.000 0.000
Cl: 0.000 0.000 0.000
Pr: 0.263 0.290 0.527
Pr: 0.737 0.710 0.473
Cl: 0.500 0.000 0.500
Pr: 0.248 0.730 0.982
Pr: 0.752 0.270 0.504
Pr: 0.266 0.270 0.018
Cl: 0.000 0.000 0.500
Pr: 0.248 0.730 0.496

Output
crystal system	trigonal
formation energy from raw total energies	-1384	meV/atom
space group	R-3m, No. 166



MgNbPd2 | GGA-PBE | relaxed

a = 7.132 Å, b = 7.132 Å, c = 5.798 Å
α = 52.04°, β = 52.04°, γ = 90.00°
Element x y z (fractional)
Nb: 0.000 0.000 0.000
Mg: 0.250 0.750 0.500
Pd: 0.121 0.625 0.250
Pd: 0.875 0.879 0.750
Nb: 0.750 0.250 0.500
Pd: 0.375 0.371 0.750
Pd: 0.629 0.125 0.250
Mg: 0.500 0.500 0.000

Output
crystal system	tetragonal
energy relative to the elements	124.2	meV per atom
space group	I-42d, No. 122



LiNbF3 | GGA-PBE | relaxed

a = 3.770 Å, b = 3.770 Å, c = 3.770 Å
α = 90.00°, β = 90.00°, γ = 90.00°
Element x y z (fractional)
Li: 0.000 0.000 0.000
F: 0.000 0.500 0.000
F: 0.000 0.000 0.500
F: 0.500 0.000 0.000
Nb: 0.500 0.500 0.500

Output
crystal system	cubic
formation energy from raw total energies	-1846	meV/atom
space group	Pm-3m, No. 221
polymorph energy (0 for the lowest one)	0.111	eV/atom



RbLaNb2 | GGA-PBE | relaxed

a = 4.697 Å, b = 4.697 Å, c = 11.753 Å
α = 78.47°, β = 78.47°, γ = 90.00°
Element x y z (fractional)
Nb: 0.375 0.239 0.750
La: 0.750 0.250 0.500
Nb: 0.989 0.625 0.250
Rb: 0.500 0.500 0.000
Nb: 0.875 0.011 0.750
Rb: 0.250 0.750 0.500
La: 0.000 0.000 0.000
Nb: 0.761 0.125 0.250

Output
crystal system	tetragonal
energy relative to the elements	1465.6	meV per atom
space group	I-42d, No. 122
polymorph energy (0 for the lowest one)	0.000	eV/atom



Number 1: total moment 0.00 μB/cell, total energy -5.586 eV per atom. Number 2: total moment 2.03 μB/cell, total energy -5.388 eV per atom. Number 3: total moment 3.00 μB/cell, total energy -5.366 eV per atom. Number 4: total moment 0.00 μB/cell, total energy -5.043 eV per atom.